Here is a relaxed structure of Tb2NdHo4 from the Alexandria database. Energies are from PBE.

a = 16.6567 Å, b = 3.5282 Å, c = 8.7455 Å
α = 90.00°, β = 119.50°, γ = 90.00°
With the nearest neighbours (Å) after each atom.
Space group C2/m (No. 12)
Unique sites:
Tb  0.0700  0.0000  0.4296  1 Tb 3.13, 1 Ho 3.30, 1 Nd 3.34
Nd  0.0000  0.0000  0.0000  2 Tb 3.34, 2 Nd 3.53, 4 Ho 3.58
Ho  0.1432  0.5000  0.8363  7 Ho 3.53-3.73, 4 Tb 3.60, 2 Nd 3.77
Ho  0.2058  0.5000  0.2942  3 Tb 3.30-3.50, 7 Ho 3.53-3.68, 2 Nd 3.58

* excess energy over the best structure of this formula in the dataset: 0.000 eV per atom
* energy relative to the elements: 0.036 eV/atom
* uncorrected energy: -4.584 eV per atom
* spin magnetization: 0.000 Bohr magnetons per cell
* ρ: 8.33 g/cm³
* D(E_F): 10.21 states/eV/f.u.

=====

Here is a relaxed structure of Tb5Nd2Ho5 from the Alexandria database. Energies are from PBE.

a = 15.1205 Å, b = 5.0377 Å, c = 11.2743 Å
α = 90.00°, β = 116.52°, γ = 90.00°
With the nearest neighbours (Å) after each atom.
Space group C2/m (No. 12)
Unique sites:
Tb  0.0000  0.0000  0.0000  2 Tb 3.55, 8 Ho 3.56, 2 Nd 3.56
Tb  0.1671  0.0000  0.4998  5 Tb 3.55-3.57, 5 Ho 3.55-3.57, 2 Nd 3.57
Tb  0.2485  0.0000  0.2488  6 Ho 3.54-3.59, 4 Tb 3.55-3.57, 2 Nd 3.58
Nd  0.0830  0.0000  0.7498  7 Ho 3.56-3.57, 5 Tb 3.56-3.58
Ho  0.0000  0.5000  0.5000  4 Nd 3.56, 6 Tb 3.57-3.59, 2 Ho 3.57
Ho  0.0841  0.5000  0.2500  7 Tb 3.54-3.56, 3 Ho 3.55-3.58, 2 Nd 3.57
Ho  0.1666  0.5000  0.0005  4 Ho 3.55-3.58, 5 Tb 3.55-3.57, 3 Nd 3.57

* energy relative to the elements: 0.018 eV/atom
* uncorrected energy: -4.613 eV per atom
* spin magnetization: 0.000 Bohr magnetons per cell
* ρ: 8.25 g/cm³
* D(E_F): 17.12 states/eV/f.u.

=====

Here is a relaxed structure of TbNd10Ho4 from the Alexandria database. Energies are from PBE.

a = 12.3620 Å, b = 12.3620 Å, c = 7.8077 Å
α = 90.00°, β = 90.00°, γ = 90.00°
With the nearest neighbours (Å) after each atom.
Space group I4/m (No. 87)
Unique sites:
Tb  0.0000  0.0000  0.0000  8 Nd 3.39
Nd  0.0000  0.5000  0.2500  4 Ho 3.39
Nd  0.0996  0.2008  0.2502  3 Ho 3.38, 1 Tb 3.39
Ho  0.1003  0.7005  0.5000  8 Nd 3.38-3.39

* energy relative to the elements: 0.689 eV/atom
* uncorrected energy: -4.019 eV per atom
* spin magnetization: 0.000 Bohr magnetons per cell
* ρ: 6.29 g/cm³
* D(E_F): 21.28 states/eV/f.u.